# 1
meta-GGA SCAN HfZrC3, single point on PBEsol structure; space-group type = No. 221; E_form = 1231 meV/atom
1.0
4.103 0.000 0.000
0.000 4.103 0.000
0.000 0.000 4.103
Hf Zr C
1 1 3
direct
0.000 0.000 0.000
0.500 0.500 0.500
0.000 0.000 0.500
0.000 0.500 0.000
0.500 0.000 0.000



# 2
meta-GGA SCAN Hg2C3, single point on PBEsol structure; space-group type = No. 70; E_form = 1062 meV/atom
1.0
0.000 4.821 5.806
3.428 0.000 5.806
3.428 4.821 0.000
Hg C
4 6
direct
0.091 0.091 0.659
0.341 0.341 0.909
0.659 0.659 0.091
0.909 0.909 0.341
0.239 0.511 0.239
0.375 0.375 0.375
0.489 0.761 0.489
0.511 0.239 0.511
0.625 0.625 0.625
0.761 0.489 0.761



# 3
meta-GGA SCAN HgC, single point on PBEsol structure; space-group type = No. 186; E_form = 2312 meV/atom; polymorph energy (0 for the lowest one) = 1695.6 meV per atom
1.0
3.654 0.000 0.000
-1.827 3.165 0.000
0.000 0.000 5.800
Hg C
2 2
direct
0.333 0.667 0.000
0.667 0.333 0.500
0.333 0.667 0.387
0.667 0.333 0.887